No. 1
## TaNi2Rh (PBE-GGA)

Data for an optimized crystal structure of TaNi2Rh.

a b c (Å): 3.187 3.187 5.380
angles (deg): 90.00 90.00 90.00
Atoms (fractional coordinates):
Ta 0.000 0.000 0.000
Ni 0.000 0.000 0.459
Ni 0.500 0.500 0.250
Rh 0.500 0.500 0.735

Results
**E_form**: -6.46 kcal/mol of atoms
**E_tot**: -7.97 eV per atom

No. 2
## TbYHgAu (PBE-GGA)

Data for an optimized crystal structure of TbYHgAu.

a b c (Å): 3.682 3.682 7.299
angles (deg): 90.00 90.00 90.00
Atoms (fractional coordinates):
Tb 0.000 0.000 0.000
Y 0.000 0.000 0.479
Hg 0.500 0.500 0.739
Au 0.500 0.500 0.238

Results
**E_form**: -15.56 kcal/mol of atoms
**E_tot**: -4.34 eV per atom

No. 3
## Cr2NiMo (PBE-GGA)

Data for an optimized crystal structure of Cr2NiMo.

a b c (Å): 2.838 2.838 6.305
angles (deg): 90.00 90.00 90.00
Atoms (fractional coordinates):
Cr 0.000 0.000 0.000
Cr 0.500 0.500 0.197
Ni 0.500 0.500 0.760
Mo 0.000 0.000 0.477

Results
**E_form**: 3.44 kcal/mol of atoms
**E_tot**: -8.82 eV per atom

No. 4
## DyEr5 (PBE-GGA)

Data for an optimized crystal structure of DyEr5.

a b c (Å): 6.066 6.066 7.008
angles (deg): 106.77 106.77 48.17
Atoms (fractional coordinates):
Dy 0.000 0.000 0.000
Er 0.000 0.000 0.500
Er 0.333 0.333 0.167
Er 0.333 0.333 0.666
Er 0.667 0.667 0.334
Er 0.667 0.667 0.833

Results
**E_form**: 0.52 kcal/mol of atoms
**E_tot**: -4.55 eV per atom

No. 5
## LaN2OF (PBE-GGA)

Data for an optimized crystal structure of LaN2OF.

a b c (Å): 3.613 3.613 4.456
angles (deg): 90.00 90.00 90.00
Atoms (fractional coordinates):
La 0.000 0.000 0.000
N 0.000 0.500 0.500
N 0.500 0.000 0.500
O 0.500 0.500 0.500
F 0.500 0.500 0.000

Results
**Formation energy from raw total energies**: -0.034 eV per atom
**E_tot**: -5.72 eV per atom

No. 6
## La3Te (PBE-GGA)

Data for an optimized crystal structure of La3Te.

a b c (Å): 7.421 7.421 7.421
angles (deg): 149.23 137.96 52.99
Atoms (fractional coordinates):
La 0.000 0.000 0.000
La 0.293 0.793 0.500
La 0.707 0.207 0.500
Te 0.500 0.500 0.000

Results
**Formation energy from raw total energies**: -0.604 eV per atom
**E_tot**: -5.09 eV per atom

no.,volume (Å³ per atom)
1,13.66
2,24.75
3,12.69
4,30.38
5,11.63
6,34.80